[1]
A relaxed Pr4In2Ga crystal. Source: Alexandria via LeMat-Bulk, functional PBE.

abc: 5.3983 6.5919 6.5919
angles: 109.00 90.00 90.00
With the nearest neighbours (Å) after each atom.
Atoms (fractional coordinates):
1 Pr 0.5000 0.0000 0.5000  2 Ga 3.30, 4 In 3.31
2 Pr 0.0000 0.2469 0.2469  4 In 3.29-3.31, 2 Ga 3.32
3 Pr 0.5000 0.5000 0.0000  2 Ga 3.30, 4 In 3.31
4 Pr 0.0000 0.7531 0.7531  4 In 3.29-3.31, 2 Ga 3.32
5 In 0.0000 0.7496 0.2504  8 Pr 3.29-3.31
6 In 0.0000 0.2504 0.7496  8 Pr 3.29-3.31
7 Ga 0.5000 0.5000 0.5000  8 Pr 3.30-3.32

## Properties
- distance to the lowest polymorph of the same formula (meV/atom) = 0
- crystal system = orthorhombic
- theoretical density (g/cm3) = 6.46
- symmetry = No. 65
- E_form (eV/f.u.) = -2.4
- spin magnetization (Bohr magnetons per cell) = 0.0


[2]
A relaxed PmNd5In2 crystal. Source: Alexandria via LeMat-Bulk, functional PBE.

abc: 3.7227 8.6006 8.6006
angles: 79.53 77.50 77.50
With the nearest neighbours (Å) after each atom.
Atoms (fractional coordinates):
1 Nd 0.3610 0.4184 0.8595  3 In 3.27-3.49, 5 Nd 3.44-3.53
2 Nd 0.3610 0.8595 0.4184  3 In 3.27-3.49, 5 Nd 3.44-3.53
3 Nd 0.6390 0.5816 0.1405  3 In 3.27-3.49, 5 Nd 3.44-3.53
4 Nd 0.6390 0.1405 0.5816  3 In 3.27-3.49, 5 Nd 3.44-3.53
5 Nd 0.0000 0.5000 0.5000  2 In 3.45, 10 Nd 3.53-3.72
6 In 0.2722 0.2278 0.2278  7 Nd 3.27-3.49, 2 Pm 3.44
7 In 0.7278 0.7722 0.7722  7 Nd 3.27-3.49, 2 Pm 3.44
8 Pm 0.0000 0.0000 0.0000  4 In 3.44, 2 Pm 3.72

## Properties
- distance to the lowest polymorph of the same formula (meV/atom) = 107
- crystal system = orthorhombic
- theoretical density (g/cm3) = 7.00
- symmetry = No. 71
- E_form (eV/f.u.) = -1.4
- spin magnetization (Bohr magnetons per cell) = 0.0


[3]
A relaxed Pm4Nd3Sm crystal. Source: Alexandria via LeMat-Bulk, functional PBE.

abc: 6.3889 7.3866 11.8513
angles: 90.00 90.00 90.00
With the nearest neighbours (Å) after each atom.
Atoms (fractional coordinates):
1 Sm 0.1479 0.3744 0.0000  6 Pm 3.64-3.70, 6 Nd 3.65-3.70
2 Sm 0.6479 0.6256 0.5000  6 Pm 3.64-3.70, 6 Nd 3.65-3.70
3 Nd 0.6481 0.6258 0.0000  4 Nd 3.65-3.66, 6 Pm 3.66-3.70, 2 Sm 3.69-3.70
4 Nd 0.9809 0.6252 0.2499  4 Nd 3.65-3.69, 2 Sm 3.65, 6 Pm 3.65-3.70
5 Nd 0.1481 0.3742 0.5000  4 Nd 3.65-3.66, 6 Pm 3.66-3.70, 2 Sm 3.69-3.70
6 Nd 0.9809 0.6252 0.7501  4 Nd 3.65-3.69, 2 Sm 3.65, 6 Pm 3.65-3.70
7 Nd 0.4809 0.3748 0.7499  4 Nd 3.65-3.69, 2 Sm 3.65, 6 Pm 3.65-3.70
8 Nd 0.4809 0.3748 0.2501  4 Nd 3.65-3.69, 2 Sm 3.65, 6 Pm 3.65-3.70
9 Pm 0.9804 0.1246 0.2493  6 Pm 3.64-3.69, 1 Sm 3.64, 5 Nd 3.66-3.70
10 Pm 0.4804 0.8754 0.2507  6 Pm 3.64-3.69, 1 Sm 3.64, 5 Nd 3.66-3.70
11 Pm 0.1486 0.8756 0.0000  6 Pm 3.64-3.69, 4 Nd 3.65-3.69, 2 Sm 3.68-3.70
12 Pm 0.6481 0.1247 0.0000  6 Pm 3.64-3.69, 4 Nd 3.65-3.70, 2 Sm 3.69
13 Pm 0.9804 0.1246 0.7507  6 Pm 3.64-3.69, 1 Sm 3.64, 5 Nd 3.66-3.70
14 Pm 0.4804 0.8754 0.7493  6 Pm 3.64-3.69, 1 Sm 3.64, 5 Nd 3.66-3.70
15 Pm 0.6486 0.1244 0.5000  6 Pm 3.64-3.69, 4 Nd 3.65-3.69, 2 Sm 3.68-3.70
16 Pm 0.1481 0.8753 0.5000  6 Pm 3.64-3.69, 4 Nd 3.65-3.70, 2 Sm 3.69

## Properties
- distance to the lowest polymorph of the same formula (meV/atom) = 19
- crystal system = orthorhombic
- theoretical density (g/cm3) = 6.91
- symmetry = No. 31
- E_form (eV/f.u.) = 0.3
- spin magnetization (Bohr magnetons per cell) = 0.0


[4]
A relaxed CaIn2Au crystal. Source: Alexandria via LeMat-Bulk, functional PBE.

abc: 3.5818 3.5819 7.5883
angles: 90.00 90.00 89.92
With the nearest neighbours (Å) after each atom.
Atoms (fractional coordinates):
1 In 0.0000 0.0000 0.4593  4 Au 2.99, 1 In 3.18
2 In 0.0000 0.0000 0.0407  4 Au 2.99, 1 In 3.18
3 Au 0.5000 0.5000 0.2500  8 In 2.99
4 Ca 0.5000 0.5000 0.7500  8 In 3.36, 4 Ca 3.58

## Properties
- crystal system = orthorhombic
- theoretical density (g/cm3) = 7.96
- symmetry = No. 65
- E_form (eV/f.u.) = -1.4
- spin magnetization (Bohr magnetons per cell) = 0.0


Question: What is the formula in the fourth record?
Answer: CaIn2Au